LaMg2Sn2 after structural relaxation. Source: the Alexandria database, functional PBE-GGA.

Values from the calculation:
The value obtained for the total energy is -35.8 eV for the cell shown. As for the space group: P4/mbm, No. 127.

a b c (Å): 8.6186 8.6186 3.4620
angles (deg): 90.00 90.00 90.00
With the nearest neighbours (Å) after each atom.
Fractional positions:
La 0.0000 0.0000 0.0000  4 Mg 3.43, 2 La 3.46, 8 Sn 3.62
La 0.5000 0.5000 0.0000  4 Mg 3.43, 2 La 3.46, 8 Sn 3.62
Mg 0.1213 0.3787 0.0000  1 Mg 2.96, 6 Sn 3.03-3.12
Mg 0.3787 0.8787 0.0000  1 Mg 2.96, 6 Sn 3.03-3.12
Mg 0.6213 0.1213 0.0000  1 Mg 2.96, 6 Sn 3.03-3.12
Mg 0.8787 0.6213 0.0000  1 Mg 2.96, 6 Sn 3.03-3.12
Sn 0.1747 0.6747 0.5000  6 Mg 3.03-3.12
Sn 0.3253 0.1747 0.5000  6 Mg 3.03-3.12
Sn 0.6747 0.8253 0.5000  6 Mg 3.03-3.12
Sn 0.8253 0.3253 0.5000  6 Mg 3.03-3.12